[1]
Compound: BaAg2P2
Source: Alexandria
Functional: PBE-GGA
Structure: optimized geometry

Computed properties:
As for the calculated formation energy: -0.4197 eV/atom. The calculation puts the final energy at -4.1087 eV per atom. As for the total moment: 0.00 Bohr magnetons per cell.

a b c (Å): 6.202 6.202 6.202
angles (deg): 137.22 137.22 62.10
Sites, in units of the cell vectors:
Ba: 0.000 0.000 0.000
Ag: 0.250 0.750 0.500
Ag: 0.750 0.250 0.500
P: 0.391 0.391 0.000
P: 0.609 0.609 0.000

---

[2]
Compound: CdAgPdBr6
Source: Alexandria
Functional: PBE-GGA
Structure: optimized geometry

Computed properties:
The calculation puts the final energy at -2.5328 eV per atom. For the uncorrected formation energy, the calculation gives -0.42 eV/atom. As for the total moment: 1.47 Bohr magnetons per cell.

a b c (Å): 6.838 6.838 12.460
angles (deg): 90.00 90.00 120.00
Sites, in units of the cell vectors:
Cd: 0.333 0.667 0.250
Cd: 0.667 0.333 0.750
Ag: 0.000 0.000 0.000
Ag: 0.000 0.000 0.500
Pd: 0.333 0.667 0.750
Pd: 0.667 0.333 0.250
Br: 0.025 0.359 0.629
Br: 0.025 0.666 0.871
Br: 0.334 0.359 0.871
Br: 0.334 0.975 0.629
Br: 0.359 0.025 0.129
Br: 0.359 0.334 0.371
Br: 0.641 0.666 0.629
Br: 0.641 0.975 0.871
Br: 0.666 0.025 0.371
Br: 0.666 0.641 0.129
Br: 0.975 0.334 0.129
Br: 0.975 0.641 0.371

---

[3]
Compound: Tb3Sm6Er
Source: Alexandria
Functional: PBE-GGA
Structure: optimized geometry

Computed properties:
As for the calculated formation energy: 0.1239 eV/atom. As for the offset from the most stable computed form: 0 meV/atom. The calculation puts the final energy at -4.5530 eV per atom. As for the total moment: 0.00 Bohr magnetons per cell.

a b c (Å): 11.692 11.692 6.412
angles (deg): 90.00 90.00 130.66
Sites, in units of the cell vectors:
Tb: 0.080 0.920 0.500
Tb: 0.206 0.459 0.098
Tb: 0.459 0.206 0.598
Tb: 0.541 0.794 0.098
Tb: 0.794 0.541 0.598
Tb: 0.920 0.080 0.000
Sm: 0.044 0.606 0.264
Sm: 0.121 0.242 0.521
Sm: 0.199 0.801 0.793
Sm: 0.242 0.121 0.021
Sm: 0.394 0.956 0.264
Sm: 0.484 0.516 0.768
Sm: 0.516 0.484 0.268
Sm: 0.606 0.044 0.764
Sm: 0.758 0.879 0.521
Sm: 0.801 0.199 0.293
Sm: 0.879 0.758 0.021
Sm: 0.956 0.394 0.764
Er: 0.341 0.659 0.572
Er: 0.659 0.341 0.072

---

[4]
Compound: DyMgCdPd
Source: Alexandria
Functional: PBE-GGA
Structure: optimized geometry

Computed properties:
As for the calculated formation energy: -0.4964 eV/atom. The calculation puts the final energy at -3.5725 eV per atom. As for the total moment: 0.00 Bohr magnetons per cell.

a b c (Å): 4.929 4.929 4.929
angles (deg): 60.00 60.00 60.00
Sites, in units of the cell vectors:
Dy: 0.000 0.000 0.000
Mg: 0.500 0.500 0.500
Cd: 0.250 0.250 0.250
Pd: 0.750 0.750 0.750

---

[5]
Compound: Tl3Au2
Source: Alexandria
Functional: PBE-GGA
Structure: optimized geometry

Computed properties:
As for the calculated formation energy: 0.0062 eV/atom. As for the offset from the most stable computed form: 21 meV/atom. The calculation puts the final energy at -2.7245 eV per atom. As for the total moment: 0.00 Bohr magnetons per cell.

a b c (Å): 7.696 7.696 7.696
angles (deg): 55.08 55.08 55.08
Sites, in units of the cell vectors:
Tl: 0.129 0.750 0.371
Tl: 0.250 0.629 0.871
Tl: 0.371 0.129 0.750
Tl: 0.629 0.871 0.250
Tl: 0.750 0.371 0.129
Tl: 0.871 0.250 0.629
Au: 0.179 0.179 0.179
Au: 0.321 0.321 0.321
Au: 0.679 0.679 0.679
Au: 0.821 0.821 0.821

---

[6]
Compound: CeHo6Ga3
Source: Alexandria
Functional: PBE-GGA
Structure: optimized geometry

Computed properties:
As for the calculated formation energy: -0.2778 eV/atom. The calculation puts the final energy at -4.5259 eV per atom. As for the total moment: 2.63 Bohr magnetons per cell.

a b c (Å): 8.260 8.260 8.251
angles (deg): 90.00 90.00 99.70
Sites, in units of the cell vectors:
Ce: 0.168 0.832 0.500
Ce: 0.832 0.168 0.000
Ho: 0.088 0.445 0.716
Ho: 0.101 0.233 0.359
Ho: 0.233 0.101 0.859
Ho: 0.277 0.723 0.007
Ho: 0.445 0.088 0.216
Ho: 0.466 0.534 0.337
Ho: 0.534 0.466 0.837
Ho: 0.555 0.912 0.716
Ho: 0.723 0.277 0.507
Ho: 0.767 0.899 0.359
Ho: 0.899 0.767 0.859
Ho: 0.912 0.555 0.216
Ga: 0.071 0.929 0.162
Ga: 0.216 0.380 0.057
Ga: 0.380 0.216 0.557
Ga: 0.620 0.784 0.057
Ga: 0.784 0.620 0.557
Ga: 0.929 0.071 0.662

---

[7]
Compound: LaTeP2
Source: Alexandria
Functional: PBE-GGA
Structure: optimized geometry

Computed properties:
The calculation puts the final energy at -5.2195 eV per atom. For the uncorrected formation energy, the calculation gives -0.50 eV/atom. As for the total moment: 0.00 Bohr magnetons per cell.

a b c (Å): 7.617 7.617 7.617
angles (deg): 31.43 31.43 31.43
Sites, in units of the cell vectors:
La: 0.000 0.000 0.000
Te: 0.761 0.761 0.761
P: 0.247 0.247 0.247
P: 0.551 0.551 0.551

---

[8]
Compound: AcSiB
Source: Alexandria
Functional: PBE-GGA
Structure: optimized geometry

Computed properties:
As for the offset from the most stable computed form: 706 meV/atom. The calculation puts the final energy at -5.0785 eV per atom. For the uncorrected formation energy, the calculation gives 0.32 eV/atom. As for the total moment: 0.00 Bohr magnetons per cell.

a b c (Å): 5.040 5.040 5.040
angles (deg): 127.97 127.97 76.68
Sites, in units of the cell vectors:
Ac: 0.000 0.000 0.000
Si: 0.610 0.610 0.000
B: 0.372 0.372 0.000